[1]
Density functional theory data (PBE) for a relaxed RbBiS2 crystal.

Cell: 3.6287 3.6287 31.0722 Å, 90.00 90.00 120.00°
Last column: nearest neighbours and their distance in Å.
Space group R-3m (No. 166, hexagonal axes)
Symmetry-distinct sites (fractional):
Rb 0.0000 0.0000 0.0000 [3 per cell]  6 S 3.25, 6 Rb 3.63
Bi 0.0000 0.0000 0.5000 [3 per cell]  2 S 2.69
S 0.0000 0.0000 0.4133 [6 per cell]  1 Bi 2.69

Results
Uncorrected formation energy (eV/f.u.): 0.3
Size of the total moment (μB per formula unit): 0.001

[2]
Density functional theory data (PBE) for a relaxed TlCo4Ag crystal.

Cell: 6.9689 6.9689 6.9689 Å, 90.00 90.00 90.00°
Last column: nearest neighbours and their distance in Å.
Space group F-43m (No. 216)
Symmetry-distinct sites (fractional):
Tl 0.0000 0.0000 0.0000 [4 per cell]  12 Co 2.89, 4 Ag 3.02
Co 0.1246 0.1246 0.3754 [16 per cell]  6 Co 2.46-2.47
Ag 0.2500 0.2500 0.7500 [4 per cell]  12 Co 2.89, 4 Tl 3.02

Results
Size of the total moment (μB per formula unit): 6.225
Formation energy from the elements (eV per atom): 0.381

[3]
Density functional theory data (PBE) for a relaxed Ti2VSn crystal.

Cell: 7.2909 7.2909 5.4687 Å, 90.00 90.00 90.00°
Last column: nearest neighbours and their distance in Å.
Space group I-42d (No. 122)
Symmetry-distinct sites (fractional):
Ti 0.2198 0.2500 0.1250 [8 per cell]  2 V 2.52, 2 Ti 2.77, 2 Sn 2.82
V 0.0000 0.0000 0.0000 [4 per cell]  4 Ti 2.52, 2 Sn 2.73
Sn 0.0000 0.0000 0.5000 [4 per cell]  2 V 2.73, 4 Ti 2.82

Results
Size of the total moment (μB per formula unit): 0.000
Formation energy from the elements (eV per atom): 0.352

[4]
Density functional theory data (PBE) for a relaxed Mg2InSe crystal.

Cell: 3.7208 3.7208 23.5419 Å, 90.00 90.00 120.00°
Last column: nearest neighbours and their distance in Å.
Space group R-3m (No. 166, hexagonal axes)
Symmetry-distinct sites (fractional):
Mg 0.0000 0.0000 0.2358 [6 per cell]  3 Se 2.70
In 0.0000 0.0000 0.0000 [3 per cell]  6 Mg 3.14
Se 0.0000 0.0000 0.5000 [3 per cell]  6 Mg 2.70

Results
Uncorrected formation energy (eV/f.u.): -2.2
Size of the total moment (μB per formula unit): 0.000
Distance to the lowest polymorph of the same formula (meV per atom): 0.0

Number 1: DOS at the Fermi energy 10.08 states/eV per cell. Number 2: DOS at the Fermi energy 30.10 states/eV per cell. Number 3: DOS at the Fermi energy 23.54 states/eV per cell. Number 4: DOS at the Fermi energy 5.48 states/eV per cell.